[1]
Density functional theory data (PBE-GGA) for an optimized crystal structure of ZrInFeCo.

abc: 4.4290 4.4290 4.4290
angles: 60.00 60.00 60.00
Last column: nearest neighbours and their distance in Å.
Sites, in units of the cell vectors:
Fe  0.0000  0.0000  0.0000  4 Zr 2.71, 4 In 2.71
Co  0.5000  0.5000  0.5000  4 In 2.71, 4 Zr 2.71
Zr  0.2500  0.2500  0.2500  4 Fe 2.71, 4 Co 2.71
In  0.7500  0.7500  0.7500  4 Co 2.71, 4 Fe 2.71

Calculated values
* E_form: -0.138 eV/atom



[2]
Density functional theory data (PBE-GGA) for an optimized crystal structure of Fe2Co8Ir.

abc: 4.0057 4.0057 8.4814
angles: 90.00 90.00 90.00
Last column: nearest neighbours and their distance in Å.
Sites, in units of the cell vectors:
Fe  0.0000  0.0000  0.6664  8 Co 2.45
Co  0.5000  0.0000  0.5000  4 Fe 2.45, 4 Co 2.46
Co  0.0000  0.5000  0.5000  4 Fe 2.45, 4 Co 2.46
Co  0.5000  0.5000  0.3308  8 Co 2.44-2.46
Fe  0.0000  0.0000  0.3336  8 Co 2.45
Co  0.5000  0.0000  0.8331  2 Co 2.44, 2 Fe 2.45, 2 Ir 2.45
Co  0.0000  0.5000  0.8331  2 Co 2.44, 2 Fe 2.45, 2 Ir 2.45
Co  0.5000  0.5000  0.6692  8 Co 2.44-2.46
Co  0.5000  0.0000  0.1669  2 Co 2.44, 2 Fe 2.45, 2 Ir 2.45
Ir  0.0000  0.0000  0.0000  8 Co 2.45
Co  0.0000  0.5000  0.1669  2 Co 2.44, 2 Fe 2.45, 2 Ir 2.45

Calculated values
* E_form: 0.178 eV/atom



no.,calculated volume (Å³ per cell)
1,61.43
2,136.09